[1]
Below is an optimized crystal structure of CeZnPt6, with properties calculated at the PBE level.

Unit cell a=4.091 b=4.091 c=7.981 alpha=90.00 beta=90.00 gamma=90.00
Space group P4/mmm (No. 123)
Inequivalent atoms, fractional coordinates:
Ce  0.000  0.000  0.000
Zn  0.000  0.000  0.500
Pt  0.000  0.500  0.264
Pt  0.500  0.500  0.000
Pt  0.500  0.500  0.500

Properties
- Density of states at the Fermi level: 6.54 states/eV/f.u.
- Polymorph energy (0 for the lowest one): 0 meV/atom

---

[2]
Below is an optimized crystal structure of CsSrHf2, with properties calculated at the PBE level.

Unit cell a=8.086 b=8.086 c=8.086 alpha=90.00 beta=90.00 gamma=90.00
Space group Fm-3m (No. 225)
Inequivalent atoms, fractional coordinates:
Cs  0.000  0.000  0.000
Sr  0.000  0.000  0.500
Hf  0.250  0.250  0.250

Properties
- Density of states at the Fermi level: 6.66 states/eV/f.u.
- Final energy: -4.081 eV per atom

---

Number 2 is which compound? CsSrHf2